1.
A relaxed PuTh4O10 crystal. Source: Alexandria, functional GGA-PBE.

The structure in CIF format:
```
data_PuTh4O10
_space_group_name_H-M_alt 'R -3 m'
_space_group_IT_number 166
_space_group_name_Hall '-R 3 2"'
_cell_length_a 3.9407
_cell_length_b 3.9407
_cell_length_c 48.4061
_cell_angle_alpha 90.00
_cell_angle_beta 90.00
_cell_angle_gamma 120.00
loop_
_atom_site_label
_atom_site_type_symbol
_atom_site_fract_x
_atom_site_fract_y
_atom_site_fract_z
Pu1 Pu 0.0000 0.0000 0.0000
Th1 Th 0.0000 0.0000 0.2005
Th2 Th 0.0000 0.0000 0.3986
O1 O 0.0000 0.0000 0.0483
O2 O 0.0000 0.0000 0.1499
O3 O 0.0000 0.0000 0.2511
O4 O 0.0000 0.0000 0.3485
O5 O 0.0000 0.0000 0.4492
```

raw total energy = -9.963 eV per atom
uncorrected formation energy = -55.86 eV/f.u.

***

2.
A relaxed PuThO crystal. Source: Alexandria, functional GGA-PBE.

The structure in CIF format:
```
data_PuThO
_space_group_name_H-M_alt 'P 3 m 1'
_space_group_IT_number 156
_cell_length_a 3.6602
_cell_length_b 3.6602
_cell_length_c 5.7428
_cell_angle_alpha 90.00
_cell_angle_beta 90.00
_cell_angle_gamma 120.00
loop_
_space_group_symop_operation_xyz
'x,y,z'
'-y,x-y,z'
'-x+y,-x,z'
'-y,-x,z'
'-x+y,y,z'
'x,x-y,z'
loop_
_atom_site_label
_atom_site_type_symbol
_atom_site_fract_x
_atom_site_fract_y
_atom_site_fract_z
Pu1 Pu 0.0000 0.0000 0.0000
Th1 Th 0.6667 0.3333 0.5212
O1 O 0.3333 0.6667 0.7725
```

raw total energy = -10.344 eV per atom
offset from the most stable computed form = 0.0 meV per atom
uncorrected formation energy = -4.32 eV/f.u.

***

3.
A relaxed PuThO4 crystal. Source: Alexandria, functional GGA-PBE.

The structure in CIF format:
```
data_PuThO4
_space_group_name_H-M_alt 'I 41/a m d'
_space_group_IT_number 141
_cell_length_a 5.5161
_cell_length_b 5.5161
_cell_length_c 11.0198
_cell_angle_alpha 90.00
_cell_angle_beta 90.00
_cell_angle_gamma 90.00
loop_
_space_group_symop_operation_xyz
'x,y,z'
'-x,-y,-z'
'-y+1/4,x+3/4,z+1/4'
'y+1/4,-x+3/4,-z+1/4'
'-x+1/2,-y,z+1/2'
'x+1/2,y,-z+1/2'
'y+1/4,-x+1/4,z+3/4'
'-y+1/4,x+1/4,-z+3/4'
'x,-y,-z'
'-x,y,z'
'-y+1/4,-x+1/4,-z+3/4'
'y+1/4,x+1/4,z+3/4'
'-x+1/2,y,-z+1/2'
'x+1/2,-y,z+1/2'
'y+1/4,x+3/4,-z+1/4'
'-y+1/4,-x+3/4,z+1/4'
'x+1/2,y+1/2,z+1/2'
'-x+1/2,-y+1/2,-z+1/2'
'-y+3/4,x+1/4,z+3/4'
'y+3/4,-x+1/4,-z+3/4'
'-x,-y+1/2,z'
'x,y+1/2,-z'
'y+3/4,-x+3/4,z+1/4'
'-y+3/4,x+3/4,-z+1/4'
'x+1/2,-y+1/2,-z+1/2'
'-x+1/2,y+1/2,z+1/2'
'-y+3/4,-x+3/4,-z+1/4'
'y+3/4,x+3/4,z+1/4'
'-x,y+1/2,-z'
'x,-y+1/2,z'
'y+3/4,x+1/4,-z+3/4'
'-y+3/4,-x+1/4,z+3/4'
loop_
_atom_site_label
_atom_site_type_symbol
_atom_site_fract_x
_atom_site_fract_y
_atom_site_fract_z
Pu1 Pu 0.0000 0.2500 0.3750
Th1 Th 0.0000 0.2500 0.8750
O1 O 0.2426 0.0000 0.5000
```

raw total energy = -10.390 eV per atom
uncorrected formation energy = -20.75 eV/f.u.

***

4.
A relaxed PuThTl2O6 crystal. Source: Alexandria, functional GGA-PBE.

The structure in CIF format:
```
data_PuThTl2O6
_space_group_name_H-M_alt 'P m m n'
_space_group_IT_number 59
_cell_length_a 6.2397
_cell_length_b 8.8234
_cell_length_c 6.2386
_cell_angle_alpha 90.00
_cell_angle_beta 90.00
_cell_angle_gamma 90.00
loop_
_space_group_symop_operation_xyz
'x,y,z'
'-x,-y,-z'
'-x+1/2,-y+1/2,z'
'x+1/2,y+1/2,-z'
'x+1/2,-y,-z'
'-x+1/2,y,z'
'-x,y+1/2,-z'
'x,-y+1/2,z'
loop_
_atom_site_label
_atom_site_type_symbol
_atom_site_fract_x
_atom_site_fract_y
_atom_site_fract_z
Pu1 Pu 0.2500 0.2500 0.2504
Th1 Th 0.2500 0.7500 0.2495
Tl1 Tl 0.2500 0.0000 0.7495
O1 O 0.0131 0.2500 0.0136
O2 O 0.0132 0.2500 0.4875
O3 O 0.2500 0.0131 0.2505
```

raw total energy = -7.961 eV per atom
uncorrected formation energy = -23.37 eV/f.u.

***

5.
A relaxed Pu3ThTl4O12 crystal. Source: Alexandria, functional GGA-PBE.

The structure in CIF format:
```
data_Pu3ThTl4O12
_space_group_name_H-M_alt 'I m -3 m'
_space_group_IT_number 229
_space_group_name_Hall '-I 4 2 3'
_cell_length_a 8.7298
_cell_length_b 8.7298
_cell_length_c 8.7298
_cell_angle_alpha 90.00
_cell_angle_beta 90.00
_cell_angle_gamma 90.00
loop_
_atom_site_label
_atom_site_type_symbol
_atom_site_fract_x
_atom_site_fract_y
_atom_site_fract_z
Pu1 Pu 0.0000 0.0000 0.5000
Th1 Th 0.0000 0.0000 0.0000
Tl1 Tl 0.2500 0.2500 0.2500
O1 O 0.0000 0.0000 0.2640
O2 O 0.0000 0.2500 0.5000
```

raw total energy = -8.221 eV per atom
uncorrected formation energy = -45.04 eV/f.u.

***

6.
A relaxed PuTiO3 crystal. Source: Alexandria, functional GGA-PBE.

The structure in CIF format:
```
data_PuTiO3
_space_group_name_H-M_alt 'A m a 2'
_space_group_IT_number 40
_cell_length_a 3.8349
_cell_length_b 14.2068
_cell_length_c 5.4237
_cell_angle_alpha 90.00
_cell_angle_beta 90.00
_cell_angle_gamma 90.00
loop_
_space_group_symop_operation_xyz
'x,y,z'
'-x,-y,z'
'-x+1/2,y,z'
'x+1/2,-y,z'
'x,y+1/2,z+1/2'
'-x,-y+1/2,z+1/2'
'-x+1/2,y+1/2,z+1/2'
'x+1/2,-y+1/2,z+1/2'
loop_
_atom_site_label
_atom_site_type_symbol
_atom_site_fract_x
_atom_site_fract_y
_atom_site_fract_z
Pu1 Pu 0.2500 0.1699 0.0000
Ti1 Ti 0.2500 0.4230 0.9533
O1 O 0.2500 0.0616 0.3581
O2 O 0.2500 0.3034 0.7611
O3 O 0.2500 0.3848 0.2770
```

raw total energy = -10.323 eV per atom
uncorrected formation energy = -14.51 eV/f.u.

***

7.
A relaxed Pu4TiO10 crystal. Source: Alexandria, functional GGA-PBE.

The structure in CIF format:
```
data_Pu4TiO10
_space_group_name_H-M_alt 'R -3 m'
_space_group_IT_number 166
_space_group_name_Hall '-R 3 2"'
_cell_length_a 3.7685
_cell_length_b 3.7685
_cell_length_c 45.0085
_cell_angle_alpha 90.00
_cell_angle_beta 90.00
_cell_angle_gamma 120.00
loop_
_atom_site_label
_atom_site_type_symbol
_atom_site_fract_x
_atom_site_fract_y
_atom_site_fract_z
Pu1 Pu 0.0000 0.0000 0.1046
Pu2 Pu 0.0000 0.0000 0.2983
Ti1 Ti 0.0000 0.0000 0.5000
O1 O 0.0000 0.0000 0.0526
O2 O 0.0000 0.0000 0.1550
O3 O 0.0000 0.0000 0.2459
O4 O 0.0000 0.0000 0.3507
O5 O 0.0000 0.0000 0.4559
```

raw total energy = -10.670 eV per atom
uncorrected formation energy = -45.24 eV/f.u.

***

8.
A relaxed PuTiO5 crystal. Source: Alexandria, functional GGA-PBE.

The structure in CIF format:
```
data_PuTiO5
_space_group_name_H-M_alt 'I m m m'
_space_group_IT_number 71
_space_group_name_Hall '-I 2 2'
_cell_length_a 3.7105
_cell_length_b 6.4674
_cell_length_c 7.9154
_cell_angle_alpha 90.00
_cell_angle_beta 90.00
_cell_angle_gamma 90.00
loop_
_atom_site_label
_atom_site_type_symbol
_atom_site_fract_x
_atom_site_fract_y
_atom_site_fract_z
Pu1 Pu 0.0000 0.0000 0.0000
Ti1 Ti 0.0000 0.0000 0.5000
O1 O 0.0000 0.0000 0.2347
O2 O 0.0000 0.3019 0.5000
O3 O 0.0000 0.5000 0.0000
```

raw total energy = -9.375 eV per atom
uncorrected formation energy = -18.61 eV/f.u.

***

9.
A relaxed PuTi2O4 crystal. Source: Alexandria, functional GGA-PBE.

The structure in CIF format:
```
data_PuTi2O4
_space_group_name_H-M_alt 'C m c m'
_space_group_IT_number 63
_space_group_name_Hall '-C 2c 2'
_cell_length_a 3.1602
_cell_length_b 9.9413
_cell_length_c 10.1196
_cell_angle_alpha 90.00
_cell_angle_beta 90.00
_cell_angle_gamma 90.00
loop_
_atom_site_label
_atom_site_type_symbol
_atom_site_fract_x
_atom_site_fract_y
_atom_site_fract_z
Pu1 Pu 0.0000 0.1152 0.2500
Ti1 Ti 0.0000 0.3782 0.0613
O1 O 0.0000 0.0000 0.0000
O2 O 0.0000 0.2632 0.6068
O3 O 0.0000 0.4299 0.2500
```

raw total energy = -9.915 eV per atom
uncorrected formation energy = -19.45 eV/f.u.

***

10.
A relaxed PuTiO3 crystal. Source: Alexandria, functional GGA-PBE.

The structure in CIF format:
```
data_PuTiO3
_space_group_name_H-M_alt 'C m m m'
_space_group_IT_number 65
_space_group_name_Hall '-C 2 2'
_cell_length_a 5.4581
_cell_length_b 11.5351
_cell_length_c 3.8764
_cell_angle_alpha 90.00
_cell_angle_beta 90.00
_cell_angle_gamma 90.00
loop_
_atom_site_label
_atom_site_type_symbol
_atom_site_fract_x
_atom_site_fract_y
_atom_site_fract_z
Pu1 Pu 0.0000 0.1460 0.0000
Ti1 Ti 0.0000 0.3785 0.5000
O1 O 0.0000 0.3560 0.0000
O2 O 0.2414 0.0000 0.5000
O3 O 0.2500 0.2500 0.5000
```

raw total energy = -10.238 eV per atom
uncorrected formation energy = -14.09 eV/f.u.

***

11.
A relaxed Pu6TiO12 crystal. Source: Alexandria, functional GGA-PBE.

The structure in CIF format:
```
data_Pu6TiO12
_space_group_name_H-M_alt 'R -3'
_space_group_IT_number 148
_space_group_name_Hall '-R 3'
_cell_length_a 9.9295
_cell_length_b 9.9295
_cell_length_c 9.4331
_cell_angle_alpha 90.00
_cell_angle_beta 90.00
_cell_angle_gamma 120.00
loop_
_atom_site_label
_atom_site_type_symbol
_atom_site_fract_x
_atom_site_fract_y
_atom_site_fract_z
Pu1 Pu 0.0514 0.7922 0.1572
Ti1 Ti 0.0000 0.0000 0.5000
O1 O 0.0362 0.8114 0.9013
O2 O 0.0435 0.8489 0.3925
```

raw total energy = -11.157 eV per atom
uncorrected formation energy = -58.60 eV/f.u.

***

12.
A relaxed Pu2TiO11 crystal. Source: Alexandria, functional GGA-PBE.

The structure in CIF format:
```
data_Pu2TiO11
_space_group_name_H-M_alt 'C 1 c 1'
_space_group_IT_number 9
_cell_length_a 13.8373
_cell_length_b 9.7182
_cell_length_c 9.7907
_cell_angle_alpha 90.00
_cell_angle_beta 133.97
_cell_angle_gamma 90.00
loop_
_space_group_symop_operation_xyz
'x,y,z'
'x,-y,z+1/2'
'x+1/2,y+1/2,z'
'x+1/2,-y+1/2,z+1/2'
loop_
_atom_site_label
_atom_site_type_symbol
_atom_site_fract_x
_atom_site_fract_y
_atom_site_fract_z
Pu1 Pu 0.0000 0.0898 0.0000
Pu2 Pu 0.4876 0.1609 0.0009
Ti1 Ti 0.2416 0.2614 0.4877
O1 O 0.0064 0.1244 0.5349
O2 O 0.1125 0.3653 0.7566
O3 O 0.1320 0.3552 0.4984
O4 O 0.1330 0.1478 0.2800
O5 O 0.1433 0.0741 0.0265
O6 O 0.3424 0.3708 0.4727
O7 O 0.3492 0.1618 0.9859
O8 O 0.3566 0.1704 0.7140
O9 O 0.3776 0.4400 0.2448
O10 O 0.4556 0.0925 0.4877
O11 O 0.4957 0.1638 0.4243
```

raw total energy = -8.363 eV per atom
uncorrected formation energy = -25.98 eV/f.u.

***

13.
A relaxed Pu4Ti6O19 crystal. Source: Alexandria, functional GGA-PBE.

The structure in CIF format:
```
data_Pu4Ti6O19
_space_group_name_H-M_alt 'I 2 3'
_space_group_IT_number 197
_space_group_name_Hall 'I 2 2 3'
_cell_length_a 9.0080
_cell_length_b 9.0080
_cell_length_c 9.0080
_cell_angle_alpha 90.00
_cell_angle_beta 90.00
_cell_angle_gamma 90.00
loop_
_atom_site_label
_atom_site_type_symbol
_atom_site_fract_x
_atom_site_fract_y
_atom_site_fract_z
Pu1 Pu 0.1497 0.1497 0.1497
Ti1 Ti 0.0000 0.1623 0.5000
O1 O 0.0000 0.0000 0.0000
O2 O 0.0000 0.0000 0.3488
O3 O 0.0430 0.2855 0.3260
```

raw total energy = -9.776 eV per atom
uncorrected formation energy = -84.59 eV/f.u.

***

14.
A relaxed Pu2TiO8 crystal. Source: Alexandria, functional GGA-PBE.

The structure in CIF format:
```
data_Pu2TiO8
_space_group_name_H-M_alt 'C 1 2/m 1'
_space_group_IT_number 12
_cell_length_a 11.1492
_cell_length_b 7.2292
_cell_length_c 4.1836
_cell_angle_alpha 90.00
_cell_angle_beta 99.67
_cell_angle_gamma 90.00
loop_
_space_group_symop_operation_xyz
'x,y,z'
'-x,-y,-z'
'-x,y,-z'
'x,-y,z'
'x+1/2,y+1/2,z'
'-x+1/2,-y+1/2,-z'
'-x+1/2,y+1/2,-z'
'x+1/2,-y+1/2,z'
loop_
_atom_site_label
_atom_site_type_symbol
_atom_site_fract_x
_atom_site_fract_y
_atom_site_fract_z
Pu1 Pu 0.2092 0.0000 0.4215
Ti1 Ti 0.0000 0.5000 0.5000
O1 O 0.0478 0.0000 0.2700
O2 O 0.1278 0.3268 0.5006
O3 O 0.2270 0.0000 0.9296
```

raw total energy = -9.100 eV per atom
uncorrected formation energy = -23.88 eV/f.u.

***

15.
A relaxed PuTiO crystal. Source: Alexandria, functional GGA-PBE.

The structure in CIF format:
```
data_PuTiO
_space_group_name_H-M_alt 'P 1 21/m 1'
_space_group_IT_number 11
_cell_length_a 2.9589
_cell_length_b 4.1677
_cell_length_c 6.5362
_cell_angle_alpha 90.00
_cell_angle_beta 100.36
_cell_angle_gamma 90.00
loop_
_space_group_symop_operation_xyz
'x,y,z'
'-x,-y,-z'
'-x,y+1/2,-z'
'x,-y+1/2,z'
loop_
_atom_site_label
_atom_site_type_symbol
_atom_site_fract_x
_atom_site_fract_y
_atom_site_fract_z
Pu1 Pu 0.1341 0.2500 0.0713
Ti1 Ti 0.2860 0.2500 0.6206
O1 O 0.3021 0.7500 0.6141
```

raw total energy = -10.532 eV per atom
uncorrected formation energy = -4.41 eV/f.u.

***

16.
A relaxed PuTiO3 crystal. Source: Alexandria, functional GGA-PBE.

The structure in CIF format:
```
data_PuTiO3
_space_group_name_H-M_alt 'P m -3 m'
_space_group_IT_number 221
_space_group_name_Hall '-P 4 2 3'
_cell_length_a 3.9256
_cell_length_b 3.9256
_cell_length_c 3.9256
_cell_angle_alpha 90.00
_cell_angle_beta 90.00
_cell_angle_gamma 90.00
loop_
_atom_site_label
_atom_site_type_symbol
_atom_site_fract_x
_atom_site_fract_y
_atom_site_fract_z
Pu1 Pu 0.0000 0.0000 0.0000
Ti1 Ti 0.5000 0.5000 0.5000
O1 O 0.0000 0.5000 0.5000
```

raw total energy = -10.303 eV per atom
uncorrected formation energy = -14.41 eV/f.u.

***

17.
A relaxed PuTi2O5 crystal. Source: Alexandria, functional GGA-PBE.

The structure in CIF format:
```
data_PuTi2O5
_space_group_name_H-M_alt 'C m c m'
_space_group_IT_number 63
_space_group_name_Hall '-C 2c 2'
_cell_length_a 4.0230
_cell_length_b 9.5081
_cell_length_c 9.7222
_cell_angle_alpha 90.00
_cell_angle_beta 90.00
_cell_angle_gamma 90.00
loop_
_atom_site_label
_atom_site_type_symbol
_atom_site_fract_x
_atom_site_fract_y
_atom_site_fract_z
Pu1 Pu 0.0000 0.0375 0.2500
Ti1 Ti 0.0000 0.3448 0.0516
O1 O 0.0000 0.1546 0.5470
O2 O 0.0000 0.2836 0.2500
O3 O 0.0000 0.4532 0.6204
```

raw total energy = -9.849 eV per atom
uncorrected formation energy = -23.88 eV/f.u.

***

18.
A relaxed PuTiTl2O6 crystal. Source: Alexandria, functional GGA-PBE.

The structure in CIF format:
```
data_PuTiTl2O6
_space_group_name_H-M_alt 'I 4/m m m'
_space_group_IT_number 139
_space_group_name_Hall '-I 4 2'
_cell_length_a 5.8317
_cell_length_b 5.8317
_cell_length_c 8.3593
_cell_angle_alpha 90.00
_cell_angle_beta 90.00
_cell_angle_gamma 90.00
loop_
_atom_site_label
_atom_site_type_symbol
_atom_site_fract_x
_atom_site_fract_y
_atom_site_fract_z
Pu1 Pu 0.0000 0.0000 0.0000
Ti1 Ti 0.0000 0.0000 0.5000
Tl1 Tl 0.0000 0.5000 0.2500
O1 O 0.0000 0.0000 0.2679
O2 O 0.2492 0.2492 0.5000
```

raw total energy = -7.708 eV per atom
uncorrected formation energy = -20.37 eV/f.u.